[1]
# Na4TlHg3F12

An optimized crystal structure of Na4TlHg3F12 (GGA-PBE, Alexandria via LeMat-Bulk).

Results
Size of the total moment (μB per atom): 0.060
ΔE_f (raw) (meV per atom): -1950
Symmetry: Im-3
Crystal system: cubic
D(E_F) (states/eV per atom): 0.60

Cell: 7.428 7.428 7.428 Å, 109.47 109.47 109.47°
Last column: magnetic moment on the atom in μB.
Fractional positions:
Na 0.500 0.000 0.000  0.00
Na 0.500 0.500 0.500  0.00
Na 0.000 0.500 0.000  0.00
Na 0.000 0.000 0.500  0.00
Tl 0.000 0.000 0.000  0.00
Hg 0.000 0.500 0.500  0.11
Hg 0.500 0.500 0.000  0.11
Hg 0.500 0.000 0.500  0.11
F 0.316 0.823 0.139  0.07
F 0.684 0.177 0.861  0.07
F 0.684 0.823 0.506  0.07
F 0.861 0.684 0.177  0.07
F 0.823 0.139 0.316  0.07
F 0.177 0.494 0.316  0.07
F 0.494 0.316 0.177  0.07
F 0.177 0.861 0.684  0.07
F 0.316 0.177 0.494  0.07
F 0.139 0.316 0.823  0.07
F 0.823 0.506 0.684  0.07
F 0.506 0.684 0.823  0.07

=====

[2]
# NaTlHgF4

An optimized crystal structure of NaTlHgF4 (GGA-PBE, Alexandria via LeMat-Bulk).

Results
Size of the total moment (μB per atom): 0.000
ΔE_f (raw) (meV per atom): -1842
Symmetry: P2_1/m
Crystal system: monoclinic
D(E_F) (states/eV per atom): 0.00

Cell: 6.757 6.007 7.781 Å, 90.00 118.16 90.00°
Fractional positions:
Na 0.848 0.750 0.479
Na 0.152 0.250 0.521
Tl 0.679 0.750 0.975
Tl 0.321 0.250 0.025
Hg 0.263 0.750 0.333
Hg 0.737 0.250 0.667
F 0.021 0.475 0.705
F 0.979 0.975 0.295
F 0.979 0.525 0.295
F 0.021 0.025 0.705
F 0.475 0.750 0.185
F 0.525 0.250 0.815
F 0.594 0.750 0.600
F 0.406 0.250 0.400

=====

[3]
# NaTlHg2F6

An optimized crystal structure of NaTlHg2F6 (GGA-PBE, Alexandria via LeMat-Bulk).

Results
Size of the total moment (μB per atom): 0.000
ΔE_f (raw) (meV per atom): -1726
Symmetry: C2/c
Crystal system: monoclinic
D(E_F) (states/eV per atom): 0.00

Cell: 6.719 7.182 7.182 Å, 73.42 80.02 80.02°
Fractional positions:
Na 0.250 0.754 0.246
Na 0.750 0.246 0.754
Tl 0.250 0.302 0.698
Tl 0.750 0.698 0.302
Hg 0.332 0.818 0.724
Hg 0.168 0.276 0.182
Hg 0.668 0.182 0.276
Hg 0.832 0.724 0.818
F 0.021 0.993 0.774
F 0.479 0.226 0.007
F 0.979 0.007 0.226
F 0.521 0.774 0.993
F 0.372 0.973 0.377
F 0.128 0.623 0.027
F 0.628 0.027 0.623
F 0.872 0.377 0.973
F 0.095 0.659 0.584
F 0.405 0.416 0.341
F 0.905 0.341 0.416
F 0.595 0.584 0.659

=====

[4]
# Na2TlHgF

An optimized crystal structure of Na2TlHgF (GGA-PBE, Alexandria via LeMat-Bulk).

Results
Size of the total moment (μB per atom): 0.000
ΔE_f (raw) (meV per atom): -1011
Symmetry: P4/mmm
Crystal system: tetragonal
D(E_F) (states/eV per atom): 0.46

Cell: 4.565 4.565 5.784 Å, 90.00 90.00 90.00°
Fractional positions:
Na 0.000 0.500 0.000
Na 0.500 0.000 0.000
Tl 0.000 0.000 0.500
Hg 0.500 0.500 0.500
F 0.000 0.000 0.000